Mn5Hg3I12 after structural relaxation, computed with PBE.

Structure (CIF):
```
data_Mn5Hg3I12
_chemical_formula_sum 'Mn40 Hg24 I96'
_cell_length_a 18.266
_cell_length_b 18.266
_cell_length_c 18.266
_cell_angle_alpha 90.00
_cell_angle_beta 90.00
_cell_angle_gamma 90.00
_space_group_name_H-M_alt 'I a -3 d'
_space_group_IT_number 230
_space_group_name_Hall '-I 4bd 2c 3'
loop_
_atom_site_label
_atom_site_fract_x
_atom_site_fract_y
_atom_site_fract_z
_atom_site_occupancy
Mn1 0.000 0.000 0.000 1
Mn2 0.000 0.250 0.375 1
Hg1 0.000 0.250 0.125 1
I1 0.033 0.052 0.648 1
```

Calculated values
Final energy ... -3.51 eV/atom
ρ ... 5.23 g cm⁻³
Energy relative to the elements, uncorrected ... -245 meV per atom